{"formula": "Ba2HgPtPb", "functional": "GGA-PBE", "state": "relaxed", "lattice": [[6.249, 0.000, 0.000], [0.000, 6.249, 0.000], [0.000, 0.000, 5.201]], "species": ["Ba", "Ba", "Hg", "Pt", "Pb"], "frac_coords": [[0.000, 0.500, 0.000], [0.500, 0.000, 0.000], [0.000, 0.000, 0.500], [0.500, 0.500, 0.000], [0.500, 0.500, 0.500]], "formation_energy_ev_per_fu": -2.366, "dos_ef_per_ev_cell": 2.9, "relative_energy_ev_per_atom": 0.116, "e_tot_ev_per_cell": -16.26}